DFT (PBE) results for a relaxed structure of Ho6MgIn5.

Theoretical density: 8.39 g cm⁻³
ΔH_f (0 K): -0.4147 eV/atom
Final energy: -3.98 eV/atom

Geometry as CIF:
```
data_Ho6MgIn5
_chemical_formula_sum 'Ho12 Mg2 In10'
_cell_length_a 5.306
_cell_length_b 15.968
_cell_length_c 7.423
_cell_angle_alpha 90.00
_cell_angle_beta 90.00
_cell_angle_gamma 90.00
_space_group_name_H-M_alt 'C m m m'
_space_group_IT_number 65
_space_group_name_Hall '-C 2 2'
loop_
_atom_site_label
_atom_site_fract_x
_atom_site_fract_y
_atom_site_fract_z
Ho1 0.000 0.000 0.245
Ho2 0.000 0.332 0.251
Mg1 0.000 0.500 0.500
In1 0.000 0.160 0.500
In2 0.000 0.167 0.000
In3 0.000 0.500 0.000
```